# LiTaOs2 GGA-PBEsol optimized geometry
# ΔE_f   0.139 eV per atom
# Fermi-level density of states   2.7 states/eV per cell
# V   14.24 A^3/atom
data_LiTaOs2
_space_group_name_H-M_alt 'P 1 m 1'
_space_group_IT_number 6
_space_group_name_Hall 'P -2y'
_cell_length_a 2.7248
_cell_length_b 4.2633
_cell_length_c 4.9909
_cell_angle_alpha 90.00
_cell_angle_beta 100.82
_cell_angle_gamma 90.00
loop_
_atom_site_label
_atom_site_type_symbol
_atom_site_fract_x
_atom_site_fract_y
_atom_site_fract_z
Li1 Li 0.0000 0.0000 0.0000
Ta1 Ta 0.3661 0.5000 0.7829
Os1 Os 0.5467 0.0000 0.4819
Os2 Os 0.9106 0.5000 0.2716